Material: Cs2Si2SnO6
Method: DFT, PBE
State: optimized geometry

abc: 6.193 6.193 7.551
angles: 65.79 65.79 60.00
Sites, in units of the cell vectors:
Cs1 0.791 0.791 0.628
Cs2 0.209 0.209 0.372
Si1 0.409 0.409 0.772
Si2 0.591 0.591 0.228
Sn1 0.000 0.000 0.000
O1 0.739 0.739 0.230
O2 0.293 0.739 0.230
O3 0.739 0.293 0.230
O4 0.261 0.707 0.770
O5 0.707 0.261 0.770
O6 0.261 0.261 0.770

Properties
E_form (uncorrected) = -1.966 eV/atom
SG = No. 166
Total moment = 0.00 μB/cell
DOS(E_F) = 0.000 states/eV/atom
Theoretical density = 4.034 g cm⁻³